[1]
DFT (PBE) results for a relaxed TbAgGeS3 crystal.

CIF file:
```
data_TbAgGeS3
_chemical_formula_sum 'Tb4 Ag4 Ge4 S12'
_cell_length_a 3.882
_cell_length_b 12.562
_cell_length_c 10.551
_cell_angle_alpha 90.00
_cell_angle_beta 90.00
_cell_angle_gamma 90.00
_symmetry_space_group_name_H-M 'C m c m'
_symmetry_Int_Tables_number 63
_symmetry_space_group_name_Hall '-C 2c 2'
loop_
_atom_site_label
_atom_site_type_symbol
_atom_site_fract_x
_atom_site_fract_y
_atom_site_fract_z
Tb1 Tb 0.000 0.000 0.000
Ag1 Ag 0.000 0.471 0.250
Ge1 Ge 0.000 0.244 0.750
S1 S 0.000 0.107 0.250
S2 S 0.000 0.354 0.063
```

E_tot	-4.8746	eV/atom

***

[2]
DFT (PBE) results for a relaxed TbAgGeTe2S crystal.

CIF file:
```
data_TbAgGeTe2S
_chemical_formula_sum 'Tb4 Ag4 Ge4 Te8 S4'
_cell_length_a 4.222
_cell_length_b 14.604
_cell_length_c 10.109
_cell_angle_alpha 90.00
_cell_angle_beta 90.00
_cell_angle_gamma 90.00
_symmetry_space_group_name_H-M 'C m c m'
_symmetry_Int_Tables_number 63
_symmetry_space_group_name_Hall '-C 2c 2'
loop_
_atom_site_label
_atom_site_type_symbol
_atom_site_fract_x
_atom_site_fract_y
_atom_site_fract_z
Tb1 Tb 0.000 0.000 0.000
Ag1 Ag 0.000 0.485 0.250
Ge1 Ge 0.000 0.234 0.750
Te1 Te 0.000 0.344 0.057
S1 S 0.000 0.080 0.250
```

E_tot	-4.3488	eV/atom

***

[3]
DFT (PBE) results for a relaxed TlAg3GeS4 crystal.

CIF file:
```
data_TlAg3GeS4
_chemical_formula_sum 'Tl1 Ag3 Ge1 S4'
_cell_length_a 6.330
_cell_length_b 6.330
_cell_length_c 6.330
_cell_angle_alpha 90.00
_cell_angle_beta 90.00
_cell_angle_gamma 90.00
_symmetry_space_group_name_H-M 'P -4 3 m'
_symmetry_Int_Tables_number 215
_symmetry_space_group_name_Hall 'P -4 2 3'
loop_
_atom_site_label
_atom_site_type_symbol
_atom_site_fract_x
_atom_site_fract_y
_atom_site_fract_z
Tl1 Tl 0.000 0.000 0.000
Ag1 Ag 0.000 0.500 0.500
Ge1 Ge 0.500 0.500 0.500
S1 S 0.293 0.293 0.293
```

relative energy among the computed polymorphs	0.52	eV per formula unit

***

[4]
DFT (PBE) results for a relaxed TlAgGeS3 crystal.

CIF file:
```
data_TlAgGeS3
_chemical_formula_sum 'Tl4 Ag4 Ge4 S12'
_cell_length_a 3.590
_cell_length_b 13.871
_cell_length_c 10.492
_cell_angle_alpha 90.00
_cell_angle_beta 90.00
_cell_angle_gamma 90.00
_symmetry_space_group_name_H-M 'C m c m'
_symmetry_Int_Tables_number 63
_symmetry_space_group_name_Hall '-C 2c 2'
loop_
_atom_site_label
_atom_site_type_symbol
_atom_site_fract_x
_atom_site_fract_y
_atom_site_fract_z
Tl1 Tl 0.000 0.196 0.250
Ag1 Ag 0.000 0.123 0.750
Ge1 Ge 0.000 0.500 0.000
S1 S 0.000 0.124 0.518
S2 S 0.000 0.471 0.750
```

E_tot	-3.8216	eV/atom

***

[5]
DFT (PBE) results for a relaxed TlAg3GeS4 crystal.

CIF file:
```
data_TlAg3GeS4
_chemical_formula_sum 'Tl2 Ag6 Ge2 S8'
_cell_length_a 6.431
_cell_length_b 7.402
_cell_length_c 10.146
_cell_angle_alpha 90.00
_cell_angle_beta 107.65
_cell_angle_gamma 90.00
_symmetry_space_group_name_H-M 'P 1 21/m 1'
_symmetry_Int_Tables_number 11
loop_
_symmetry_equiv_pos_as_xyz
'x,y,z'
'-x,-y,-z'
'-x,y+1/2,-z'
'x,-y+1/2,z'
loop_
_atom_site_label
_atom_site_type_symbol
_atom_site_fract_x
_atom_site_fract_y
_atom_site_fract_z
Tl1 Tl 0.200 0.250 0.113
Ag1 Ag 0.240 0.049 0.550
Ag2 Ag 0.343 0.250 0.822
Ge1 Ge 0.175 0.750 0.279
S1 S 0.035 0.004 0.726
S2 S 0.263 0.750 0.084
S3 S 0.445 0.750 0.483
```

relative energy among the computed polymorphs	0.00	eV per formula unit

***

[6]
DFT (PBE) results for a relaxed TmAg2GeS4 crystal.

CIF file:
```
data_TmAg2GeS4
_chemical_formula_sum 'Tm4 Ag8 Ge4 S16'
_cell_length_a 9.730
_cell_length_b 10.794
_cell_length_c 6.560
_cell_angle_alpha 90.00
_cell_angle_beta 90.00
_cell_angle_gamma 90.00
_symmetry_space_group_name_H-M 'A m a 2'
_symmetry_Int_Tables_number 40
loop_
_symmetry_equiv_pos_as_xyz
'x,y,z'
'-x,-y,z'
'-x+1/2,y,z'
'x+1/2,-y,z'
'x,y+1/2,z+1/2'
'-x,-y+1/2,z+1/2'
'-x+1/2,y+1/2,z+1/2'
'x+1/2,-y+1/2,z+1/2'
loop_
_atom_site_label
_atom_site_type_symbol
_atom_site_fract_x
_atom_site_fract_y
_atom_site_fract_z
Tm1 Tm 0.000 0.000 0.000
Ag1 Ag 0.100 0.108 0.485
Ge1 Ge 0.250 0.297 0.039
S1 S 0.060 0.309 0.259
S2 S 0.250 0.098 0.879
S3 S 0.250 0.458 0.782
```

E_tot	-4.4678	eV/atom

***

[7]
DFT (PBE) results for a relaxed TmAgGeS3 crystal.

CIF file:
```
data_TmAgGeS3
_chemical_formula_sum 'Tm4 Ag4 Ge4 S12'
_cell_length_a 3.843
_cell_length_b 12.549
_cell_length_c 10.443
_cell_angle_alpha 90.00
_cell_angle_beta 90.00
_cell_angle_gamma 90.00
_symmetry_space_group_name_H-M 'C m c m'
_symmetry_Int_Tables_number 63
_symmetry_space_group_name_Hall '-C 2c 2'
loop_
_atom_site_label
_atom_site_type_symbol
_atom_site_fract_x
_atom_site_fract_y
_atom_site_fract_z
Tm1 Tm 0.000 0.000 0.000
Ag1 Ag 0.000 0.469 0.250
Ge1 Ge 0.000 0.246 0.750
S1 S 0.000 0.108 0.250
S2 S 0.000 0.357 0.058
```

E_tot	-4.8412	eV/atom

***

[8]
DFT (PBE) results for a relaxed AgGeSb crystal.

CIF file:
```
data_AgGeSb
_chemical_formula_sum 'Ag4 Ge4 Sb4'
_cell_length_a 6.762
_cell_length_b 6.762
_cell_length_c 6.762
_cell_angle_alpha 90.00
_cell_angle_beta 90.00
_cell_angle_gamma 90.00
_symmetry_space_group_name_H-M 'F -4 3 m'
_symmetry_Int_Tables_number 216
_symmetry_space_group_name_Hall 'F -4 2 3'
loop_
_atom_site_label
_atom_site_type_symbol
_atom_site_fract_x
_atom_site_fract_y
_atom_site_fract_z
Ag1 Ag 0.000 0.000 0.000
Ge1 Ge 0.000 0.000 0.500
Sb1 Sb 0.250 0.250 0.750
```

E_tot	-3.6311	eV/atom

***

[9]
DFT (PBE) results for a relaxed ScAgGe2 crystal.

CIF file:
```
data_ScAgGe2
_chemical_formula_sum 'Sc4 Ag4 Ge8'
_cell_length_a 6.754
_cell_length_b 6.754
_cell_length_c 6.754
_cell_angle_alpha 90.00
_cell_angle_beta 90.00
_cell_angle_gamma 90.00
_symmetry_space_group_name_H-M 'F -4 3 m'
_symmetry_Int_Tables_number 216
_symmetry_space_group_name_Hall 'F -4 2 3'
loop_
_atom_site_label
_atom_site_type_symbol
_atom_site_fract_x
_atom_site_fract_y
_atom_site_fract_z
Sc1 Sc 0.000 0.000 0.000
Ag1 Ag 0.250 0.250 0.250
Ge1 Ge 0.000 0.000 0.500
Ge2 Ge 0.250 0.250 0.750
```

E_tot	-4.6933	eV/atom

***

[10]
DFT (PBE) results for a relaxed Sc3Ag4Ge2 crystal.

CIF file:
```
data_Sc3Ag4Ge2
_chemical_formula_sum 'Sc3 Ag4 Ge2'
_cell_length_a 7.0504
_cell_length_b 7.0504
_cell_length_c 4.0130
_cell_angle_alpha 90.00
_cell_angle_beta 90.00
_cell_angle_gamma 120.00
_symmetry_space_group_name_H-M 'P -6 2 m'
_symmetry_Int_Tables_number 189
_symmetry_space_group_name_Hall 'P -6 -2'
loop_
_atom_site_label
_atom_site_type_symbol
_atom_site_fract_x
_atom_site_fract_y
_atom_site_fract_z
Sc1 Sc 0.0000 0.5816 0.0000
Ag1 Ag 0.0000 0.0000 0.0000
Ag2 Ag 0.0000 0.2622 0.5000
Ge1 Ge 0.3333 0.6667 0.5000
```

E_tot	-4.8454	eV/atom

***

[11]
DFT (PBE) results for a relaxed ScAgGeSe3 crystal.

CIF file:
```
data_ScAgGeSe3
_chemical_formula_sum 'Sc4 Ag4 Ge4 Se12'
_cell_length_a 3.874
_cell_length_b 13.097
_cell_length_c 10.543
_cell_angle_alpha 90.00
_cell_angle_beta 90.00
_cell_angle_gamma 90.00
_symmetry_space_group_name_H-M 'C m c m'
_symmetry_Int_Tables_number 63
_symmetry_space_group_name_Hall '-C 2c 2'
loop_
_atom_site_label
_atom_site_type_symbol
_atom_site_fract_x
_atom_site_fract_y
_atom_site_fract_z
Sc1 Sc 0.000 0.000 0.000
Ag1 Ag 0.000 0.464 0.250
Ge1 Ge 0.000 0.244 0.750
Se1 Se 0.000 0.106 0.250
Se2 Se 0.000 0.357 0.048
```

E_tot	-4.6956	eV/atom

***

[12]
DFT (PBE) results for a relaxed ScAgGeTe2Se crystal.

CIF file:
```
data_ScAgGeTe2Se
_chemical_formula_sum 'Sc4 Ag4 Ge4 Te8 Se4'
_cell_length_a 4.145
_cell_length_b 14.071
_cell_length_c 10.158
_cell_angle_alpha 90.00
_cell_angle_beta 90.00
_cell_angle_gamma 90.00
_symmetry_space_group_name_H-M 'C m c m'
_symmetry_Int_Tables_number 63
_symmetry_space_group_name_Hall '-C 2c 2'
loop_
_atom_site_label
_atom_site_type_symbol
_atom_site_fract_x
_atom_site_fract_y
_atom_site_fract_z
Sc1 Sc 0.000 0.000 0.000
Ag1 Ag 0.000 0.481 0.250
Ge1 Ge 0.000 0.254 0.750
Te1 Te 0.000 0.350 0.051
Se1 Se 0.000 0.097 0.250
```

E_tot	-4.4195	eV/atom